# Ac2CdO | the Alexandria database | PBE-GGA | relaxed
# - Formation energy from raw total energies: -1.5240 eV/atom
# - Offset from the most stable computed form: 0 meV per atom
# - Total magnetic moment: 0.00 μB/f.u.
# - Fermi-level density of states: 6.64 states/eV/cell
# - Calculated total energy: -5.05 eV per atom
data_Ac2CdO
_chemical_formula_sum 'Ac4 Cd2 O2'
_symmetry_space_group_name_H-M 'P 1 2/m 1'
_symmetry_Int_Tables_number 10
_cell_length_a 5.975
_cell_length_b 5.982
_cell_length_c 7.617
_cell_angle_alpha 90.00
_cell_angle_beta 113.17
_cell_angle_gamma 90.00
loop_
_symmetry_equiv_pos_as_xyz
'x,y,z'
'-x,-y,-z'
'-x,y,-z'
'x,-y,z'
loop_
_atom_site_label
_atom_site_type_symbol
_atom_site_fract_x
_atom_site_fract_y
_atom_site_fract_z
Ac1 Ac 0.129 0.000 0.301
Ac2 Ac 0.328 0.500 0.699
Cd1 Cd 0.000 0.500 0.000
Cd2 Cd 0.500 0.000 0.000
O1 O 0.000 0.250 0.500



# Ac2CdO2 | the Alexandria database | PBE-GGA | relaxed
# - Formation energy from raw total energies: -2.3300 eV/atom
# - Total magnetic moment: 0.00 μB/f.u.
# - Fermi-level density of states: 4.36 states/eV/cell
# - Calculated total energy: -6.14 eV per atom
data_Ac2CdO2
_chemical_formula_sum 'Ac4 Cd2 O4'
_symmetry_space_group_name_H-M 'I 4/m m m'
_symmetry_Int_Tables_number 139
_symmetry_space_group_name_Hall '-I 4 2'
_cell_length_a 4.322
_cell_length_b 4.322
_cell_length_c 13.865
_cell_angle_alpha 90.00
_cell_angle_beta 90.00
_cell_angle_gamma 90.00
loop_
_atom_site_label
_atom_site_type_symbol
_atom_site_fract_x
_atom_site_fract_y
_atom_site_fract_z
Ac1 Ac 0.000 0.000 0.161
Cd1 Cd 0.000 0.000 0.500
O1 O 0.000 0.500 0.250



# AcCd2OsO8 | the Alexandria database | PBE-GGA | relaxed
# - Formation energy from raw total energies: -1.3135 eV/atom
# - Total magnetic moment: 0.21 μB/f.u.
# - Fermi-level density of states: 1.13 states/eV/cell
# - Calculated total energy: -6.05 eV per atom
data_AcCd2OsO8
_chemical_formula_sum 'Ac1 Cd2 Os1 O8'
_symmetry_space_group_name_H-M 'P 1 2/m 1'
_symmetry_Int_Tables_number 10
_cell_length_a 4.918
_cell_length_b 7.118
_cell_length_c 4.921
_cell_angle_alpha 90.00
_cell_angle_beta 91.80
_cell_angle_gamma 90.00
loop_
_symmetry_equiv_pos_as_xyz
'x,y,z'
'-x,-y,-z'
'-x,y,-z'
'x,-y,z'
loop_
_atom_site_label
_atom_site_type_symbol
_atom_site_fract_x
_atom_site_fract_y
_atom_site_fract_z
Ac1 Ac 0.000 0.000 0.000
Cd1 Cd 0.500 0.263 0.500
Os1 Os 0.000 0.500 0.000
O1 O 0.219 0.308 0.864
O2 O 0.222 0.500 0.316
O3 O 0.237 0.000 0.465



# AcCdOsO6 | the Alexandria database | PBE-GGA | relaxed
# - Formation energy from raw total energies: -1.5970 eV/atom
# - Total magnetic moment: 1.03 μB/f.u.
# - Fermi-level density of states: 8.52 states/eV/cell
# - Calculated total energy: -6.71 eV per atom
data_AcCdOsO6
_chemical_formula_sum 'Ac2 Cd2 Os2 O12'
_symmetry_space_group_name_H-M 'P -3 1 c'
_symmetry_Int_Tables_number 163
_symmetry_space_group_name_Hall '-P 3 2c'
_cell_length_a 5.9222
_cell_length_b 5.9222
_cell_length_c 8.4868
_cell_angle_alpha 90.00
_cell_angle_beta 90.00
_cell_angle_gamma 120.00
loop_
_atom_site_label
_atom_site_type_symbol
_atom_site_fract_x
_atom_site_fract_y
_atom_site_fract_z
Ac1 Ac 0.3333 0.6667 0.2500
Cd1 Cd 0.0000 0.0000 0.0000
Os1 Os 0.3333 0.6667 0.7500
O1 O 0.0721 0.3931 0.6240



# AcCd2OsO6 | the Alexandria database | PBE-GGA | relaxed
# - Formation energy from raw total energies: -1.5517 eV/atom
# - Total magnetic moment: 3.00 μB/f.u.
# - Fermi-level density of states: 0.11 states/eV/cell
# - Calculated total energy: -6.24 eV per atom
data_AcCd2OsO6
_chemical_formula_sum 'Ac3 Cd6 Os3 O18'
_symmetry_space_group_name_H-M 'R 3'
_symmetry_Int_Tables_number 146
_symmetry_space_group_name_Hall 'R 3'
_cell_length_a 5.7987
_cell_length_b 5.7987
_cell_length_c 15.2898
_cell_angle_alpha 90.00
_cell_angle_beta 90.00
_cell_angle_gamma 120.00
loop_
_atom_site_label
_atom_site_type_symbol
_atom_site_fract_x
_atom_site_fract_y
_atom_site_fract_z
Ac1 Ac 0.0000 0.0000 0.0000
Cd1 Cd 0.0000 0.0000 0.2699
Cd2 Cd 0.0000 0.0000 0.7805
Os1 Os 0.0000 0.0000 0.4878
O1 O 0.0037 0.2690 0.4054
O2 O 0.0269 0.7213 0.5564



# Ac2CdOsO8 | the Alexandria database | PBE-GGA | relaxed
# - Formation energy from raw total energies: -1.9580 eV/atom
# - Total magnetic moment: 0.00 μB/f.u.
# - Calculated total energy: -6.96 eV per atom
data_Ac2CdOsO8
_chemical_formula_sum 'Ac2 Cd1 Os1 O8'
_symmetry_space_group_name_H-M 'P -1'
_symmetry_Int_Tables_number 2
_cell_length_a 4.830
_cell_length_b 5.181
_cell_length_c 7.793
_cell_angle_alpha 93.26
_cell_angle_beta 92.39
_cell_angle_gamma 94.62
loop_
_symmetry_equiv_pos_as_xyz
'x,y,z'
'-x,-y,-z'
loop_
_atom_site_label
_atom_site_type_symbol
_atom_site_fract_x
_atom_site_fract_y
_atom_site_fract_z
Ac1 Ac 0.085 0.026 0.251
Cd1 Cd 0.500 0.500 0.000
Os1 Os 0.500 0.500 0.500
O1 O 0.205 0.265 0.547
O2 O 0.213 0.190 0.976
O3 O 0.294 0.596 0.305
O4 O 0.365 0.760 0.646